VASP calculation (GGA-PBE) on an optimized crystal structure of TlReNi2Pt.

a b c (Å): 4.621 5.046 4.621
angles (deg): 90.00 90.00 90.00
Last column: magnetic moment on the atom in μB.
Sites, in units of the cell vectors:
Pt: 0.000 0.000 0.000  0.04
Re: 0.500 0.500 0.500  3.06
Ni: 0.000 0.000 0.500  -0.26
Ni: 0.500 0.000 0.000  -0.01
Tl: 0.000 0.500 0.000  -0.03

Output
Density of states at the Fermi level, states/eV/cell: 11.09
Energy, eV per atom: -4.713